Compound: ZnSbMo2
Source: Alexandria
Functional: meta-GGA SCAN
Structure: PBEsol geometry

Lattice parameters (Å, degrees): 4.921 4.921 4.921 132.01 132.01 70.22
Sites, in units of the cell vectors:
Zn: 0.000 0.000 0.000
Sb: 0.250 0.750 0.500
Mo: 0.500 0.500 0.000
Mo: 0.750 0.250 0.500

## Properties
excess energy over the best structure of this formula in the dataset	0.00	eV per formula unit
M_tot	0.00	μB per formula unit
Fermi-level density of states	2.7	states/eV/f.u.
ρ	9758	kg/m3
calculated total energy	-29.806	eV/atom
crystal system	tetragonal
ΔE_f (raw)	0.330	eV/atom

---

Compound: Be2AlRe
Source: Alexandria
Functional: meta-GGA SCAN
Structure: PBEsol geometry

Lattice parameters (Å, degrees): 2.665 3.147 5.563 90.00 90.00 90.00
Sites, in units of the cell vectors:
Be: 0.000 0.000 0.000
Be: 0.500 0.500 0.186
Al: 0.500 0.500 0.722
Re: 0.000 0.000 0.428

## Properties
M_tot	0.00	μB per formula unit
Fermi-level density of states	2.0	states/eV/f.u.
ρ	8228	kg/m3
calculated total energy	-21.845	eV/atom
E_form	0.044	eV per atom
crystal system	orthorhombic

---

Compound: KSr2P
Source: Alexandria
Functional: meta-GGA SCAN
Structure: PBEsol geometry

Lattice parameters (Å, degrees): 4.274 4.274 9.656 90.00 90.00 90.00
Sites, in units of the cell vectors:
K: 0.000 0.000 0.000
Sr: 0.000 0.000 0.372
Sr: 0.500 0.500 0.653
P: 0.500 0.500 0.356

## Properties
M_tot	0.23	μB per formula unit
Fermi-level density of states	1.6	states/eV/f.u.
ρ	2309	kg/m3
calculated total energy	-16.301	eV/atom
E_form	-0.481	eV per atom
crystal system	tetragonal

---

Compound: RbYGa2
Source: Alexandria
Functional: meta-GGA SCAN
Structure: PBEsol geometry

Lattice parameters (Å, degrees): 5.312 5.312 5.312 60.00 60.00 60.00
Sites, in units of the cell vectors:
Rb: 0.000 0.000 0.000
Y: 0.500 0.500 0.500
Ga: 0.250 0.250 0.250
Ga: 0.750 0.750 0.750

## Properties
M_tot	0.00	μB per formula unit
Fermi-level density of states	2.2	states/eV/f.u.
ρ	4915	kg/m3
calculated total energy	-20.251	eV/atom
E_form	0.067	eV per atom
crystal system	cubic

---

Compound: MoAsSe2N
Source: Alexandria
Functional: meta-GGA SCAN
Structure: PBEsol geometry

Lattice parameters (Å, degrees): 4.839 4.839 4.865 90.00 90.00 90.00
Sites, in units of the cell vectors:
Mo: 0.000 0.000 0.000
As: 0.000 0.000 0.500
Se: 0.000 0.500 0.000
Se: 0.500 0.000 0.000
N: 0.500 0.500 0.500

## Properties
M_tot	2.71	μB per formula unit
Fermi-level density of states	3.4	states/eV/f.u.
ρ	4996	kg/m3
calculated total energy	-19.737	eV/atom
crystal system	tetragonal
ΔE_f (raw)	1.168	eV/atom

---

Compound: ZrFe2Si
Source: Alexandria
Functional: meta-GGA SCAN
Structure: PBEsol geometry

Lattice parameters (Å, degrees): 4.059 4.059 3.064 90.00 90.00 90.00
Sites, in units of the cell vectors:
Zr: 0.000 0.000 0.000
Fe: 0.000 0.500 0.500
Fe: 0.500 0.000 0.500
Si: 0.500 0.500 0.000

## Properties
M_tot	0.00	μB per formula unit
Fermi-level density of states	0.6	states/eV/f.u.
ρ	7601	kg/m3
calculated total energy	-19.506	eV/atom
crystal system	tetragonal
ΔE_f (raw)	-0.262	eV/atom

---

Compound: BaYSb2
Source: Alexandria
Functional: meta-GGA SCAN
Structure: PBEsol geometry

Lattice parameters (Å, degrees): 3.811 3.811 8.402 90.00 90.00 90.00
Sites, in units of the cell vectors:
Ba: 0.000 0.000 0.000
Y: 0.000 0.000 0.500
Sb: 0.500 0.500 0.284
Sb: 0.500 0.500 0.716

## Properties
excess energy over the best structure of this formula in the dataset	0.00	eV per formula unit
M_tot	0.00	μB per formula unit
Fermi-level density of states	2.4	states/eV/f.u.
ρ	6393	kg/m3
calculated total energy	-36.436	eV/atom
crystal system	tetragonal
ΔE_f (raw)	-0.957	eV/atom

---

Compound: NpB2C
Source: Alexandria
Functional: meta-GGA SCAN
Structure: PBEsol geometry

Lattice parameters (Å, degrees): 5.118 5.118 5.118 78.85 78.85 78.85
Sites, in units of the cell vectors:
Np: 0.000 0.000 0.000
Np: 0.310 0.310 0.310
Np: 0.690 0.690 0.690
B: 0.229 0.500 0.771
B: 0.229 0.771 0.500
B: 0.500 0.229 0.771
B: 0.500 0.771 0.229
B: 0.771 0.229 0.500
B: 0.771 0.500 0.229
C: 0.000 0.000 0.500
C: 0.000 0.500 0.000
C: 0.500 0.000 0.000

## Properties
M_tot	3.29	μB per formula unit
Fermi-level density of states	5.7	states/eV/f.u.
ρ	10589	kg/m3
calculated total energy	-33.208	eV/atom
E_form	-0.216	eV per atom
crystal system	trigonal